DFT (GGA-PBE) results for an optimized crystal structure of SmErHf.

Lattice parameters (Å, degrees): 7.352 7.352 7.352 90.00 90.00 90.00
Space group F-43m (No. 216)
Asymmetric unit:
Sm 0.000 0.000 0.000 (multiplicity 4)
Er 0.000 0.000 0.500 (multiplicity 4)
Hf 0.250 0.250 0.750 (multiplicity 4)

Results
* offset from the most stable computed form: 0 meV per atom
* E_form: 0.854 eV/atom

DFT (GGA-PBE) results for an optimized crystal structure of NbNiBPd.

Lattice parameters (Å, degrees): 5.844 5.844 5.844 90.00 90.00 90.00
Space group F-43m (No. 216)
Asymmetric unit:
Nb 0.000 0.000 0.000 (multiplicity 4)
Ni 0.250 0.250 0.250 (multiplicity 4)
B 0.250 0.250 0.750 (multiplicity 4)
Pd 0.000 0.000 0.500 (multiplicity 4)

Results
* offset from the most stable computed form: 0 meV per atom

DFT (GGA-PBE) results for an optimized crystal structure of Er3ZrTe2C2.

Lattice parameters (Å, degrees): 3.7175 3.7175 13.8258 90.00 90.00 120.00
Space group P3m1 (No. 156)
Asymmetric unit:
Er 0.0000 0.0000 0.0000 (multiplicity 1)
Er 0.0000 0.0000 0.3180 (multiplicity 1)
Er 0.6667 0.3333 0.8131 (multiplicity 1)
Zr 0.6667 0.3333 0.4980 (multiplicity 1)
Te 0.0000 0.0000 0.6471 (multiplicity 1)
Te 0.6667 0.3333 0.1600 (multiplicity 1)
C 0.3333 0.6667 0.4167 (multiplicity 1)
C 0.3333 0.6667 0.9047 (multiplicity 1)

DFT (GGA-PBE) results for an optimized crystal structure of NdMgPO.

Lattice parameters (Å, degrees): 4.095 4.095 8.937 90.00 90.00 90.00
Space group P4/nmm (No. 129, origin choice 2)
Asymmetric unit:
Nd 0.250 0.250 0.129 (multiplicity 2)
Mg 0.250 0.750 0.500 (multiplicity 2)
P 0.250 0.250 0.673 (multiplicity 2)
O 0.250 0.750 0.000 (multiplicity 2)

DFT (GGA-PBE) results for an optimized crystal structure of Sr3Cd4Sn4.

Lattice parameters (Å, degrees): 8.854 8.854 8.854 90.00 90.00 90.00
Space group I-43m (No. 217)
Asymmetric unit:
Sr 0.000 0.000 0.500 (multiplicity 6)
Cd 0.131 0.131 0.869 (multiplicity 8)
Sn 0.189 0.189 0.189 (multiplicity 8)

Results
* offset from the most stable computed form: 184 meV per atom

DFT (GGA-PBE) results for an optimized crystal structure of ScSnAuSe3.

Lattice parameters (Å, degrees): 9.946 4.015 15.136 90.00 90.00 90.00
Space group Pnma (No. 62)
Asymmetric unit:
Sc 0.162 0.250 0.036 (multiplicity 4)
Sn 0.010 0.250 0.704 (multiplicity 4)
Au 0.192 0.250 0.350 (multiplicity 4)
Se 0.001 0.750 0.106 (multiplicity 4)
Se 0.160 0.250 0.510 (multiplicity 4)
Se 0.208 0.750 0.701 (multiplicity 4)

Results
* offset from the most stable computed form: 0 meV per atom

DFT (GGA-PBE) results for an optimized crystal structure of LaTbAsO.

Lattice parameters (Å, degrees): 4.459 4.459 9.193 90.00 90.00 90.00
Space group P4/nmm (No. 129, origin choice 2)
Asymmetric unit:
La 0.250 0.250 0.110 (multiplicity 2)
Tb 0.250 0.750 0.500 (multiplicity 2)
As 0.250 0.250 0.695 (multiplicity 2)
O 0.250 0.750 0.000 (multiplicity 2)

Results
* offset from the most stable computed form: 19 meV per atom

DFT (GGA-PBE) results for an optimized crystal structure of LiSi2Pd.

Lattice parameters (Å, degrees): 4.172 9.359 6.111 90.00 90.00 90.00
Space group Cmcm (No. 63)
Asymmetric unit:
Li 0.000 0.085 0.250 (multiplicity 4)
Si 0.000 0.377 0.052 (multiplicity 8)
Pd 0.000 0.205 0.750 (multiplicity 4)

DFT (GGA-PBE) results for an optimized crystal structure of GdMgIn.

Lattice parameters (Å, degrees): 7.5560 7.5560 4.7040 90.00 90.00 120.00
Space group P-62m (No. 189)
Asymmetric unit:
Gd 0.0000 0.5644 0.0000 (multiplicity 3)
Mg 0.0000 0.2407 0.5000 (multiplicity 3)
In 0.0000 0.0000 0.0000 (multiplicity 1)
In 0.3333 0.6667 0.5000 (multiplicity 2)

DFT (GGA-PBE) results for an optimized crystal structure of PmPr.

Lattice parameters (Å, degrees): 6.644 6.644 6.644 90.00 90.00 90.00
Space group F-43m (No. 216)
Asymmetric unit:
Pm 0.000 0.000 0.000 (multiplicity 4)
Pr 0.250 0.250 0.750 (multiplicity 4)

Results
* offset from the most stable computed form: 1513 meV per atom
* E_form: 1.536 eV/atom

DFT (GGA-PBE) results for an optimized crystal structure of Ho2Fe2B4Ir3.

Lattice parameters (Å, degrees): 5.336 9.568 11.075 90.00 90.00 90.00
Space group Fmmm (No. 69)
Asymmetric unit:
Ho 0.000 0.000 0.146 (multiplicity 8)
Fe 0.250 0.250 0.250 (multiplicity 8)
B 0.000 0.160 0.359 (multiplicity 16)
Ir 0.000 0.000 0.500 (multiplicity 4)
Ir 0.250 0.250 0.000 (multiplicity 8)

DFT (GGA-PBE) results for an optimized crystal structure of PrSn2.

Lattice parameters (Å, degrees): 14.404 14.404 14.404 90.00 90.00 90.00
Space group Fd-3m (No. 227, origin choice 2)
Asymmetric unit:
Pr 0.125 0.125 0.125 (multiplicity 8)
Sn 0.000 0.000 0.000 (multiplicity 16)

DFT (GGA-PBE) results for an optimized crystal structure of ZnAu17.

Lattice parameters (Å, degrees): 4.980 5.809 35.437 90.00 90.02 90.00
Space group P2_1/m (No. 11)
Asymmetric unit:
Zn 0.167 0.250 0.278 (multiplicity 2)
Au 0.000 0.000 0.000 (multiplicity 2)
Au 0.001 0.002 0.209 (multiplicity 4)
Au 0.166 0.750 0.070 (multiplicity 2)
Au 0.167 0.250 0.070 (multiplicity 2)
Au 0.167 0.250 0.861 (multiplicity 2)
Au 0.167 0.750 0.279 (multiplicity 2)
Au 0.167 0.750 0.861 (multiplicity 2)
Au 0.333 0.000 0.139 (multiplicity 4)
Au 0.333 0.000 0.930 (multiplicity 4)
Au 0.334 0.505 0.721 (multiplicity 4)
Au 0.497 0.250 0.209 (multiplicity 2)
Au 0.499 0.250 0.791 (multiplicity 2)
Au 0.500 0.250 0.000 (multiplicity 2)

Results
* E_form: 0.044 eV/atom

DFT (GGA-PBE) results for an optimized crystal structure of TaTlNO.

Lattice parameters (Å, degrees): 6.538 7.929 5.885 90.00 90.00 90.00
Space group Pca2_1 (No. 29)
Asymmetric unit:
Ta 0.116 0.070 0.000 (multiplicity 4)
Tl 0.123 0.611 0.989 (multiplicity 4)
N 0.130 0.011 0.668 (multiplicity 4)
O 0.093 0.297 0.004 (multiplicity 4)

Results
* offset from the most stable computed form: 0 meV per atom

DFT (GGA-PBE) results for an optimized crystal structure of LuAl2Si.

Lattice parameters (Å, degrees): 6.712 6.712 6.712 90.00 90.00 90.00
Space group F-43m (No. 216)
Asymmetric unit:
Lu 0.000 0.000 0.000 (multiplicity 4)
Al 0.000 0.000 0.500 (multiplicity 4)
Al 0.250 0.250 0.250 (multiplicity 4)
Si 0.250 0.250 0.750 (multiplicity 4)

DFT (GGA-PBE) results for an optimized crystal structure of Gd2HoGa3AgIr2.

Lattice parameters (Å, degrees): 3.901 12.619 7.344 90.00 90.00 90.00
Space group Amm2 (No. 38)
Asymmetric unit:
Gd 0.000 0.206 0.000 (multiplicity 4)
Ho 0.000 0.000 0.616 (multiplicity 2)
Ga 0.500 0.000 0.934 (multiplicity 2)
Ga 0.500 0.135 0.342 (multiplicity 4)
Ag 0.000 0.000 0.208 (multiplicity 2)
Ir 0.500 0.165 0.704 (multiplicity 4)

DFT (GGA-PBE) results for an optimized crystal structure of SmInNi.

Lattice parameters (Å, degrees): 8.4444 8.4444 3.2230 90.00 90.00 120.00
Space group P-62m (No. 189)
Asymmetric unit:
Sm 0.0000 0.3036 0.0000 (multiplicity 3)
In 0.0000 0.0000 0.5000 (multiplicity 1)
In 0.3333 0.6667 0.0000 (multiplicity 2)
Ni 0.0000 0.6190 0.5000 (multiplicity 3)

DFT (GGA-PBE) results for an optimized crystal structure of TmBiPb2O6.

Lattice parameters (Å, degrees): 5.307 5.363 5.869 98.03 99.76 103.53
Space group P-1 (No. 2)
Asymmetric unit:
Tm 0.000 0.000 0.000 (multiplicity 1)
Bi 0.500 0.500 0.000 (multiplicity 1)
Pb 0.250 0.722 0.445 (multiplicity 2)
O 0.177 0.241 0.743 (multiplicity 2)
O 0.295 0.784 0.067 (multiplicity 2)
O 0.303 0.330 0.259 (multiplicity 2)

Results
* offset from the most stable computed form: 133 meV per atom

DFT (GGA-PBE) results for an optimized crystal structure of SmGd2Cu4Sn4.

Lattice parameters (Å, degrees): 4.499 6.993 14.843 90.00 90.00 90.00
Space group Immm (No. 71)
Asymmetric unit:
Sm 0.000 0.000 0.000 (multiplicity 2)
Gd 0.000 0.500 0.132 (multiplicity 4)
Cu 0.000 0.314 0.331 (multiplicity 8)
Sn 0.000 0.000 0.217 (multiplicity 4)
Sn 0.000 0.201 0.500 (multiplicity 4)

DFT (GGA-PBE) results for an optimized crystal structure of RbNbCuS3.

Lattice parameters (Å, degrees): 8.599 3.619 9.464 90.00 114.96 90.00
Space group P2_1/m (No. 11)
Asymmetric unit:
Rb 0.229 0.250 0.263 (multiplicity 2)
Nb 0.324 0.750 0.846 (multiplicity 2)
Cu 0.084 0.250 0.610 (multiplicity 2)
S 0.126 0.250 0.861 (multiplicity 2)
S 0.222 0.750 0.559 (multiplicity 2)
S 0.463 0.750 0.141 (multiplicity 2)

Number 1: VASP energy -0.40834 Ry/atom. Number 2: VASP energy -0.50352 Ry/atom. Number 3: VASP energy -0.49504 Ry/atom. Number 4: VASP energy -0.44925 Ry/atom. Number 5: VASP energy -0.18484 Ry/atom. Number 6: VASP energy -0.35762 Ry/atom. Number 7: VASP energy -0.49883 Ry/atom. Number 8: VASP energy -0.36090 Ry/atom. Number 9: VASP energy -0.24902 Ry/atom. Number 10: VASP energy -0.23698 Ry/atom. Number 11: VASP energy -0.57346 Ry/atom. Number 12: VASP energy -0.22481 Ry/atom. Number 13: VASP energy -0.22870 Ry/atom. Number 14: VASP energy -0.58372 Ry/atom. Number 15: VASP energy -0.32252 Ry/atom. Number 16: VASP energy -0.40714 Ry/atom. Number 17: VASP energy -0.31359 Ry/atom. Number 18: VASP energy -0.44766 Ry/atom. Number 19: VASP energy -0.33905 Ry/atom. Number 20: VASP energy -0.39860 Ry/atom.